## SbAsAu2 (GGA-PBEsol)

Data for a geometry-optimized SbAsAu2 structure.

Output
- energy relative to the elements, uncorrected (meV/atom) = 55
- total DFT energy (no corrections) (eV/f.u.) = -17.3
- space group = No. 12

extended XYZ file:
```
4
Lattice="4.7777 0.0030 0.0051 -1.6633 4.4791 -0.0511 -1.6633 -2.1478 3.9309" Properties=species:S:1:pos:R:3 pbc="T T T"
Au -0.8316 2.2395 -0.0256
Au -0.8316 -1.0739 1.9654
As 2.3888 0.0015 0.0025
Sb 0.7256 1.1672 1.9424
```


## Zr2TlRh (GGA-PBEsol)

Data for a geometry-optimized Zr2TlRh structure.

Output
- formation energy (eV per formula unit) = -0.492
- total DFT energy (no corrections) (eV/f.u.) = -29.4
- space group = No. 216

extended XYZ file:
```
4
Lattice="-0.8227 4.1718 2.1339 -4.1075 0.7336 2.2858 -0.0638 0.2709 4.7494" Properties=species:S:1:pos:R:3 pbc="T T T"
Zr 0.0000 0.0000 0.0000
Zr -3.7455 3.8822 6.8768
Tl -1.2485 1.2941 2.2923
Rh -2.4970 2.5882 4.5846
```


## BaNbPd3 (GGA-PBEsol)

Data for a geometry-optimized BaNbPd3 structure.

Output
- formation energy (eV per formula unit) = 1.233
- total DFT energy (no corrections) (eV/f.u.) = -29.6
- space group = No. 221

extended XYZ file:
```
5
Lattice="4.9433 0.0000 0.0000 0.0000 4.9433 0.0000 0.0000 0.0000 4.9433" Properties=species:S:1:pos:R:3 pbc="T T T"
Nb 0.0000 0.0000 0.0000
Pd 0.0000 0.0000 2.4716
Pd 2.4716 0.0000 0.0000
Pd 0.0000 2.4716 0.0000
Ba 2.4716 2.4716 2.4716
```


## LaCu13 (GGA-PBEsol)

Data for a geometry-optimized LaCu13 structure.

Output
- formation energy (eV per formula unit) = -0.864
- total DFT energy (no corrections) (eV/f.u.) = -62.6
- space group = No. 226

extended XYZ file:
```
28
Lattice="-3.0687 3.1288 -6.7639 -0.5068 -4.5121 -6.6589 -7.1992 -2.4504 -2.6691" Properties=species:S:1:pos:R:3 pbc="T T T"
La -8.0810 -2.8753 -12.0690
La -2.6937 -0.9584 -4.0230
Cu -6.7189 -0.8588 -9.8019
Cu -3.4125 -0.7091 -7.2606
Cu -7.6887 -1.6518 -4.9270
Cu -5.3681 -0.9684 -11.8135
Cu -7.9706 0.9247 -8.6345
Cu -5.2779 -2.9046 -10.2793
Cu -6.5810 -3.2884 -6.4121
Cu -5.4968 -0.9291 -5.8126
Cu -7.5661 -1.1083 -7.2877
Cu -5.6945 0.5044 -7.9092
Cu -1.7198 -2.3991 -6.8580
Cu -4.0558 -2.9749 -6.2901
Cu -4.3261 1.1895 -5.9679
Cu -5.3873 -1.9169 -8.0460
Cu -4.1937 -0.5453 -9.6799
Cu -5.0801 -4.3381 -8.1827
Cu -2.8040 -4.7584 -7.4575
Cu -3.4789 1.4390 -8.4821
Cu -3.0860 -2.1819 -11.1650
Cu -6.4486 -5.0233 -10.1241
Cu -7.2958 -5.2728 -7.6099
Cu -5.4066 -2.8653 -4.2784
Cu -3.2086 -2.7254 -8.8043
Cu -9.0548 -1.4346 -9.2339
Cu -7.3622 -3.1246 -8.8313
Cu 0.0000 0.0000 0.0000
```


## Cd2HgPb (GGA-PBEsol)

Data for a geometry-optimized Cd2HgPb structure.

Output
- formation energy (eV per formula unit) = 0.201
- total DFT energy (no corrections) (eV/f.u.) = -6.8
- space group = No. 139

extended XYZ file:
```
4
Lattice="4.5148 0.0000 0.0000 0.0000 4.5148 0.0000 -2.2574 -2.2574 4.6644" Properties=species:S:1:pos:R:3 pbc="T T T"
Pb 0.0000 0.0000 0.0000
Hg 2.2574 2.2574 0.0000
Cd 0.0000 2.2574 2.3322
Cd 2.2574 0.0000 2.3322
```


## CuAsPt2 (GGA-PBEsol)

Data for a geometry-optimized CuAsPt2 structure.

Output
- formation energy (eV per formula unit) = -0.208
- total DFT energy (no corrections) (eV/f.u.) = -23.6
- space group = No. 123

extended XYZ file:
```
4
Lattice="-3.7000 -0.0758 -0.5752 -0.4411 -2.3187 3.1432 -0.4197 3.1730 2.2818" Properties=species:S:1:pos:R:3 pbc="T T T"
Pt -0.2206 -1.1593 1.5716
Pt -0.2098 1.5865 1.1409
As -2.2804 0.3893 2.4249
Cu -1.8500 -0.0379 -0.2876
```


## AlFe2Co (GGA-PBEsol)

Data for a geometry-optimized AlFe2Co structure.

Output
- formation energy (eV per formula unit) = -0.910
- total DFT energy (no corrections) (eV/f.u.) = -30.7
- space group = No. 71

extended XYZ file:
```
4
Lattice="-1.8129 2.1969 -0.1228 -2.9617 -2.3922 0.9276 3.0133 0.8318 3.4898" Properties=species:S:1:pos:R:3 pbc="T T T"
Fe 0.3217 0.3773 2.0000
Fe -2.0830 0.2593 2.2946
Al -0.9065 1.0984 -0.0614
Co -1.4809 -1.1961 0.4638
```


## AgAu2 (GGA-PBEsol)

Data for a geometry-optimized AgAu2 structure.

Output
- formation energy (eV per formula unit) = -0.109
- total DFT energy (no corrections) (eV/f.u.) = -11.3
- space group = No. 12

extended XYZ file:
```
6
Lattice="-0.1760 -2.7876 -0.5487 4.8198 0.6244 2.6657 -4.7438 -0.6692 4.9212" Properties=species:S:1:pos:R:3 pbc="T T T"
Ag -3.5705 -0.5819 4.1016
Ag 3.4705 -2.2505 2.9367
Au 1.0966 -1.7867 1.3417
Au -1.2879 -1.9568 2.9710
Au 1.1879 -0.8756 4.0673
Au -1.1967 -1.0457 5.6965
```


## Cr2SbRh (GGA-PBEsol)

Data for a geometry-optimized Cr2SbRh structure.

Output
- energy relative to the elements, uncorrected (meV/atom) = 179
- total DFT energy (no corrections) (eV/f.u.) = -32.5
- space group = No. 99

extended XYZ file:
```
4
Lattice="3.2685 0.0000 0.0000 0.0000 3.2685 0.0000 0.0000 0.0000 5.5932" Properties=species:S:1:pos:R:3 pbc="T T T"
Cr 1.6342 1.6342 1.1759
Cr 0.0000 0.0000 0.2545
Sb 1.6342 1.6342 4.1008
Rh 0.0000 0.0000 2.8586
```


## TaAg2Ir (GGA-PBEsol)

Data for a geometry-optimized TaAg2Ir structure.

Output
- formation energy (eV per formula unit) = 0.217
- total DFT energy (no corrections) (eV/f.u.) = -28.8
- space group = No. 99

extended XYZ file:
```
4
Lattice="3.3652 0.0000 0.0000 0.0000 3.3652 0.0000 0.0000 0.0000 5.8248" Properties=species:S:1:pos:R:3 pbc="T T T"
Ir 0.0000 0.0000 3.0847
Ag 1.6826 1.6826 1.4110
Ag 0.0000 0.0000 0.0590
Ta 1.6826 1.6826 4.1827
```


## Li2DyIn (GGA-PBEsol)

Data for a geometry-optimized Li2DyIn structure.

Output
- formation energy (eV per formula unit) = -1.241
- total DFT energy (no corrections) (eV/f.u.) = -13.1
- space group = No. 225

extended XYZ file:
```
4
Lattice="4.7743 0.0000 0.0000 2.3872 4.1347 0.0000 2.3872 1.3782 3.8982" Properties=species:S:1:pos:R:3 pbc="T T T"
Li 2.3872 1.3782 0.9746
Li 7.1615 4.1347 2.9237
Dy 4.7743 2.7565 1.9491
In 0.0000 0.0000 0.0000
```


## La3Se4Cl (GGA-PBEsol)

Data for a geometry-optimized La3Se4Cl structure.

Output
- energy relative to the elements, uncorrected (meV/atom) = -2098
- total DFT energy (no corrections) (eV/f.u.) = -50.2
- space group = No. 33

extended XYZ file:
```
32
Lattice="-5.5711 -4.7768 -2.8935 5.2535 -6.6077 0.7934 -4.3034 -2.0252 11.6290" Properties=species:S:1:pos:R:3 pbc="T T T"
La 0.8136 -2.0823 0.0868
La -1.4029 -8.7428 4.5971
La 1.1390 -4.0277 4.1324
La 1.6261 -9.4160 1.3368
La -5.7323 -9.3296 5.5054
La -3.6305 -7.2848 8.5873
La -1.0916 -6.1829 0.9836
La -5.4157 -11.3511 9.4450
La -3.1992 -4.6906 4.9347
La -0.9093 -10.5223 8.9411
La -3.1434 -12.6731 5.7917
La 3.7315 -7.3756 4.4193
Se -3.3086 -9.5504 10.6729
Se -1.4381 -9.2297 0.8538
Se -1.5331 -3.6569 2.5896
Se -6.1767 -8.7991 8.4328
Se -1.2723 -3.9097 -1.1379
Se 3.6618 -7.2596 1.4143
Se -3.5741 -10.6104 3.6030
Se -5.4171 -6.2603 6.2471
Se -0.5366 -7.4260 9.5276
Se 0.5482 -9.0969 6.7292
Se -3.1549 -4.2152 8.6793
Se -4.1003 -5.9636 -0.0011
Se 0.7802 -7.1293 3.2795
Se -1.0068 -2.8497 5.9320
Se -3.0631 -6.9618 3.1178
Se -3.0599 -9.7880 6.9436
Cl 1.5259 -4.5673 1.1829
Cl -8.3076 -6.1247 8.0197
Cl -1.6399 -6.4494 6.4707
Cl -5.1418 -4.2426 2.7319
```